Material: Li4Zn2SnGe
Method: DFT, GGA-PBE
State: optimized geometry

Lattice parameters (Å, degrees): 4.467 4.467 6.321 90.00 90.00 90.00
Element x y z (fractional)
1 Li 0.000 0.000 0.500
2 Li 0.500 0.500 0.000
3 Li 0.500 0.000 0.764
4 Li 0.000 0.500 0.236
5 Zn 0.000 0.500 0.763
6 Zn 0.500 0.000 0.237
7 Ge 0.000 0.000 0.000
8 Sn 0.500 0.500 0.500



Material: ZrPd
Method: DFT, GGA-PBE
State: optimized geometry

Lattice parameters (Å, degrees): 9.528 3.464 4.495 90.00 90.00 90.00
Element x y z (fractional)
1 Pd 0.199 0.500 0.000
2 Pd 0.718 0.000 0.500
3 Pd 0.475 0.500 0.500
4 Pd 0.442 0.000 0.000
5 Zr 0.953 0.500 0.500
6 Zr 0.669 0.500 0.000
7 Zr 0.963 0.000 0.000
8 Zr 0.247 0.000 0.500



Raw total energy (computed, eV for the cell shown): -21.334, -59.170